1.
A relaxed ZrZnCuTc crystal, computed with PBE.

## Properties
Its symmetry is F-43m, No. 216. The calculation puts the formation energy at 0.61 eV per formula unit.

a b c (Å): 4.5028 4.5028 4.5028
angles (deg): 60.00 60.00 60.00
Sites, in units of the cell vectors:
Tc: 0.5000 0.5000 0.5000
Zn: 0.0000 0.0000 0.0000
Cu: 0.7500 0.7500 0.7500
Zr: 0.2500 0.2500 0.2500

---

2.
A relaxed BaLaCdAu crystal, computed with PBE.

## Properties
Its symmetry is F-43m, No. 216. The calculation puts the energy at -0.112 Ha/atom.

a b c (Å): 5.3506 5.3506 5.3506
angles (deg): 60.00 60.00 60.00
Sites, in units of the cell vectors:
Ba: 0.2500 0.2500 0.2500
La: 0.5000 0.5000 0.5000
Au: 0.7500 0.7500 0.7500
Cd: 0.0000 0.0000 0.0000

---

3.
A relaxed TmNbAg crystal, computed with PBE.

## Properties
Its symmetry is F-43m, No. 216. The calculation puts the formation energy at 3.31 eV per formula unit.

a b c (Å): 4.7496 4.7496 4.7496
angles (deg): 60.00 60.00 60.00
Sites, in units of the cell vectors:
Nb: 0.7500 0.7500 0.7500
Ag: 0.2500 0.2500 0.2500
Tm: 0.0000 0.0000 0.0000

---

4.
A relaxed Dy2Er2Tm2LuNi2Te2 crystal, computed with PBE.

## Properties
Its symmetry is Imm2, No. 44. The calculation puts the energy at -0.189 Ha/atom.

a b c (Å): 9.2614 9.2614 9.2614
angles (deg): 156.17 67.09 118.33
Sites, in units of the cell vectors:
Ni: 0.3050 0.0693 0.2356
Ni: 0.8337 0.0693 0.7644
Dy: 0.7162 0.5820 0.1342
Dy: 0.4479 0.5820 0.8658
Te: 0.7349 0.2349 0.5000
Te: 0.3378 0.3378 0.0000
Tm: 0.6923 0.3774 0.3150
Tm: 0.0624 0.3774 0.6850
Er: 0.0827 0.7287 0.3539
Er: 0.3748 0.7287 0.6461
Lu: 0.0005 0.0005 0.0000

---

5.
A relaxed KLuCoS3 crystal, computed with PBE.

## Properties
Its symmetry is Cmcm, No. 63. The calculation puts the energy at -0.201 Ha/atom.

a b c (Å): 7.3757 7.3757 10.2174
angles (deg): 90.00 90.00 149.87
Sites, in units of the cell vectors:
K: 0.7432 0.2568 0.2500
K: 0.2568 0.7432 0.7500
Co: 0.4654 0.5346 0.2500
Co: 0.5346 0.4654 0.7500
Lu: 0.0000 0.0000 0.5000
Lu: 0.0000 0.0000 0.0000
S: 0.6225 0.3775 0.9341
S: 0.6225 0.3775 0.5659
S: 0.0588 0.9412 0.2500
S: 0.3775 0.6225 0.4341
S: 0.3775 0.6225 0.0659
S: 0.9412 0.0588 0.7500

---

6.
A relaxed GdZn3Ni2 crystal, computed with PBE.

## Properties
Its symmetry is P6/mmm, No. 191. The calculation puts the formation energy at -2.40 eV per formula unit.

a b c (Å): 5.1570 5.1570 4.0552
angles (deg): 90.00 90.00 120.00
Sites, in units of the cell vectors:
Gd: 0.0000 0.0000 0.0000
Zn: 0.5000 0.5000 0.5000
Zn: 0.5000 0.0000 0.5000
Zn: 0.0000 0.5000 0.5000
Ni: 0.6667 0.3333 0.0000
Ni: 0.3333 0.6667 0.0000

---

7.
A relaxed SmCuPd crystal, computed with PBE.

## Properties
Its symmetry is F-43m, No. 216. The calculation puts the formation energy at 0.10 eV per formula unit.

a b c (Å): 4.6752 4.6752 4.6752
angles (deg): 60.00 60.00 60.00
Sites, in units of the cell vectors:
Cu: 0.2500 0.2500 0.2500
Sm: 0.0000 0.0000 0.0000
Pd: 0.7500 0.7500 0.7500

---

8.
A relaxed NaIr3Pb5 crystal, computed with PBE.

## Properties
Its symmetry is P6/mmm, No. 191. The calculation puts the energy at -0.185 Ha/atom.

a b c (Å): 5.7297 5.7297 8.3784
angles (deg): 90.00 90.00 120.00
Sites, in units of the cell vectors:
Na: 0.0000 0.0000 0.0000
Pb: 0.6667 0.3333 0.7795
Pb: 0.0000 0.0000 0.5000
Pb: 0.3333 0.6667 0.2205
Pb: 0.6667 0.3333 0.2205
Pb: 0.3333 0.6667 0.7795
Ir: 0.5000 0.5000 0.5000
Ir: 0.0000 0.5000 0.5000
Ir: 0.5000 0.0000 0.5000

---

9.
A relaxed MgZnFeSn crystal, computed with PBE.

## Properties
Its symmetry is F-43m, No. 216. The calculation puts the energy at -0.131 Ha/atom.

a b c (Å): 4.4974 4.4974 4.4974
angles (deg): 60.00 60.00 60.00
Sites, in units of the cell vectors:
Sn: 0.2500 0.2500 0.2500
Mg: 0.5000 0.5000 0.5000
Fe: 0.0000 0.0000 0.0000
Zn: 0.7500 0.7500 0.7500

---

10.
A relaxed PmAgO3 crystal, computed with PBE.

## Properties
Its symmetry is P4mm, No. 99. The calculation puts the energy at -0.216 Ha/atom.

a b c (Å): 4.0096 4.0096 4.3046
angles (deg): 90.00 90.00 90.00
Sites, in units of the cell vectors:
Pm: 0.0000 0.0000 0.9623
Ag: 0.5000 0.5000 0.5697
O: 0.0000 0.5000 0.6448
O: 0.5000 0.5000 0.0784
O: 0.5000 0.0000 0.6448

---

11.
A relaxed PmYPO crystal, computed with PBE.

## Properties
Its symmetry is Pmc2_1, No. 26. The calculation puts the energy at -0.271 Ha/atom.

a b c (Å): 4.2186 7.6361 5.5417
angles (deg): 90.00 90.00 90.00
Sites, in units of the cell vectors:
Y: 0.5000 0.2939 0.9397
Y: 0.5000 0.7061 0.4397
P: 0.5000 0.6483 0.9380
P: 0.5000 0.3517 0.4380
Pm: 0.0000 0.1320 0.4644
Pm: 0.0000 0.8680 0.9644
O: 0.0000 0.1755 0.9119
O: 0.0000 0.8245 0.4119

---

12.
A relaxed Tl2CdAgBr6 crystal, computed with PBE.

## Properties
Its symmetry is Fm-3m, No. 225. The calculation puts the energy at -0.090 Ha/atom.

a b c (Å): 7.7240 7.7240 7.7240
angles (deg): 60.00 60.00 60.00
Sites, in units of the cell vectors:
Tl: 0.7500 0.7500 0.7500
Tl: 0.2500 0.2500 0.2500
Br: 0.2488 0.2488 0.7512
Br: 0.7512 0.2488 0.2488
Br: 0.7512 0.7512 0.2488
Br: 0.2488 0.7512 0.2488
Br: 0.2488 0.7512 0.7512
Br: 0.7512 0.2488 0.7512
Ag: 0.0000 0.0000 0.0000
Cd: 0.5000 0.5000 0.5000

---

13.
A relaxed Ag2Br crystal, computed with PBE.

## Properties
Its symmetry is P4_2/mnm, No. 136. The calculation puts the energy at -0.078 Ha/atom.

a b c (Å): 5.9387 5.9387 4.6612
angles (deg): 90.00 90.00 90.00
Sites, in units of the cell vectors:
Br: 0.0000 0.0000 0.0000
Br: 0.5000 0.5000 0.5000
Ag: 0.8235 0.1765 0.5000
Ag: 0.3235 0.3235 0.0000
Ag: 0.6765 0.6765 0.0000
Ag: 0.1765 0.8235 0.5000

---

14.
A relaxed YCuTcPb crystal, computed with PBE.

## Properties
Its symmetry is F-43m, No. 216. The calculation puts the energy at -0.215 Ha/atom.

a b c (Å): 4.7998 4.7998 4.7998
angles (deg): 60.00 60.00 60.00
Sites, in units of the cell vectors:
Tc: 0.2500 0.2500 0.2500
Y: 0.5000 0.5000 0.5000
Cu: 0.7500 0.7500 0.7500
Pb: 0.0000 0.0000 0.0000

---

15.
A relaxed YInAu2 crystal, computed with PBE.

## Properties
Its symmetry is P4/mmm, No. 123. The calculation puts the energy at -0.148 Ha/atom.

a b c (Å): 3.4081 3.4081 22.2324
angles (deg): 90.00 90.00 90.00
Sites, in units of the cell vectors:
Au: 0.5000 0.5000 0.4198
Au: 0.5000 0.5000 0.5802
Y: 0.0000 0.0000 0.5000
In: 0.0000 0.0000 0.0000

---

16.
A relaxed LiMgAg2 crystal, computed with PBE.

## Properties
Its symmetry is P6_3/mmc, No. 194. The calculation puts the energy at -0.090 Ha/atom.

a b c (Å): 4.6869 4.6869 8.1159
angles (deg): 90.00 90.00 120.00
Sites, in units of the cell vectors:
Li: 0.3333 0.6667 0.2500
Li: 0.6667 0.3333 0.7500
Mg: 0.0000 0.0000 0.0000
Mg: 0.0000 0.0000 0.5000
Ag: 0.6667 0.3333 0.4210
Ag: 0.3333 0.6667 0.5790
Ag: 0.6667 0.3333 0.0790
Ag: 0.3333 0.6667 0.9210

---

17.
A relaxed Mg2TaNi3Bi3 crystal, computed with PBE.

## Properties
Its symmetry is Cc, No. 9. The calculation puts the energy at -0.185 Ha/atom.

a b c (Å): 7.5826 7.5968 7.5968
angles (deg): 119.90 99.61 99.61
Sites, in units of the cell vectors:
Mg: 0.4981 0.0005 0.5040
Mg: 0.9975 0.1612 0.3277
Mg: 0.9981 0.5039 0.0005
Mg: 0.4975 0.3277 0.1612
Bi: 0.2477 0.2563 0.7485
Bi: 0.2546 0.5749 0.4072
Bi: 0.7546 0.4072 0.5749
Bi: 0.7477 0.7485 0.2563
Bi: 0.7475 0.0948 0.9178
Bi: 0.2475 0.9178 0.0948
Ni: 0.1190 0.1886 0.0217
Ni: 0.1381 0.5638 0.7120
Ni: 0.1190 0.8715 0.3935
Ni: 0.6381 0.7120 0.5638
Ni: 0.6190 0.0217 0.1886
Ni: 0.6190 0.3935 0.8715
Ta: 0.0035 0.8352 0.6708
Ta: 0.5035 0.6708 0.8352

---

18.
A relaxed DySnAsO crystal, computed with PBE.

## Properties
Its symmetry is P4/nmm, No. 129. The calculation puts the energy at -0.221 Ha/atom.

a b c (Å): 4.0964 4.0964 10.0381
angles (deg): 90.00 90.00 90.00
Sites, in units of the cell vectors:
O: 0.5000 0.5000 0.0000
O: 0.0000 0.0000 0.0000
As: 0.0000 0.5000 0.2714
As: 0.5000 0.0000 0.7286
Sn: 0.5000 0.5000 0.5000
Sn: 0.0000 0.0000 0.5000
Dy: 0.0000 0.5000 0.9000
Dy: 0.5000 0.0000 0.1000

---

19.
A relaxed TaInCuNi crystal, computed with PBE.

## Properties
Its symmetry is F-43m, No. 216. The calculation puts the energy at -0.219 Ha/atom.

a b c (Å): 4.3991 4.3991 4.3991
angles (deg): 60.00 60.00 60.00
Sites, in units of the cell vectors:
In: 0.0000 0.0000 0.0000
Ni: 0.2500 0.2500 0.2500
Ta: 0.5000 0.5000 0.5000
Cu: 0.7500 0.7500 0.7500

---

20.
A relaxed Gd2NiPt crystal, computed with PBE.

## Properties
Its symmetry is Pmc2_1, No. 26. The calculation puts the formation energy at -3.38 eV per formula unit.

a b c (Å): 4.3825 5.5443 7.1545
angles (deg): 90.00 90.00 90.00
Sites, in units of the cell vectors:
Gd: 0.5000 0.3811 0.3207
Gd: 0.5000 0.6189 0.8207
Gd: 0.0000 0.8852 0.1816
Gd: 0.0000 0.1148 0.6816
Pt: 0.0000 0.6144 0.5396
Pt: 0.0000 0.3856 0.0396
Ni: 0.5000 0.8900 0.4580
Ni: 0.5000 0.1100 0.9580

---

21.
A relaxed NbTlSeO crystal, computed with PBE.

## Properties
Its symmetry is P4/nmm, No. 129. The calculation puts the energy at -0.224 Ha/atom.

a b c (Å): 4.2855 4.2855 10.2006
angles (deg): 90.00 90.00 90.00
Sites, in units of the cell vectors:
Se: 0.2500 0.2500 0.7413
Se: 0.7500 0.7500 0.2587
O: 0.2500 0.7500 0.0000
O: 0.7500 0.2500 0.0000
Tl: 0.7500 0.2500 0.5000
Tl: 0.2500 0.7500 0.5000
Nb: 0.7500 0.7500 0.0252
Nb: 0.2500 0.2500 0.9748

---

22.
A relaxed Rb2Zn2BiSb crystal, computed with PBE.

## Properties
Its symmetry is P4mm, No. 99. The calculation puts the energy at -0.088 Ha/atom.

a b c (Å): 4.8182 4.8182 8.5215
angles (deg): 90.00 90.00 90.00
Sites, in units of the cell vectors:
Rb: 0.5000 0.5000 0.3384
Rb: 0.0000 0.0000 0.6670
Bi: 0.0000 0.0000 0.1841
Zn: 0.5000 0.0000 0.9957
Zn: 0.0000 0.5000 0.9957
Sb: 0.5000 0.5000 0.8190

---

23.
A relaxed LuNiGePt crystal, computed with PBE.

## Properties
Its symmetry is F-43m, No. 216. The calculation puts the energy at -0.214 Ha/atom.

a b c (Å): 4.5378 4.5378 4.5378
angles (deg): 60.00 60.00 60.00
Sites, in units of the cell vectors:
Lu: 0.5000 0.5000 0.5000
Ge: 0.0000 0.0000 0.0000
Ni: 0.7500 0.7500 0.7500
Pt: 0.2500 0.2500 0.2500

---

24.
A relaxed HoLuHgTe3 crystal, computed with PBE.

## Properties
Its symmetry is Cmcm, No. 63. The calculation puts the energy at -0.153 Ha/atom.

a b c (Å): 7.9382 7.9382 12.3960
angles (deg): 90.00 90.00 148.28
Sites, in units of the cell vectors:
Te: 0.0351 0.9649 0.7500
Te: 0.6404 0.3596 0.4776
Te: 0.3596 0.6404 0.9776
Te: 0.6404 0.3596 0.0224
Te: 0.9649 0.0351 0.2500
Te: 0.3596 0.6404 0.5224
Lu: 0.5987 0.4013 0.2500
Lu: 0.4013 0.5987 0.7500
Hg: 0.7441 0.2559 0.7500
Hg: 0.2559 0.7441 0.2500
Ho: 0.0000 0.0000 0.5000
Ho: 0.0000 0.0000 0.0000

---

25.
A relaxed YCdCoSn crystal, computed with PBE.

## Properties
Its symmetry is F-43m, No. 216. The calculation puts the energy at -0.172 Ha/atom.

a b c (Å): 4.8457 4.8457 4.8457
angles (deg): 60.00 60.00 60.00
Sites, in units of the cell vectors:
Sn: 0.0000 0.0000 0.0000
Co: 0.7500 0.7500 0.7500
Cd: 0.5000 0.5000 0.5000
Y: 0.2500 0.2500 0.2500